This record from Alexandria describes a relaxed structure of MnCoP2. The functional is GGA-PBEsol.

energy of formation: -0.3528 eV per atom
V: 10.74 A^3/atom
energy above the most stable polymorph in this dataset: 0 meV/atom
energy: -30.5 eV for the cell shown
total magnetic moment: 0.0001 μB per atom

Cell lengths 7.0255, 7.0255, 7.0255 Å; angles 22.08, 22.08, 22.08 degrees
Last column: nearest neighbours and their distance in Å.
Element x y z (fractional)
1 Mn 0.0000 0.0000 0.0000  6 P 2.30
2 Co 0.5000 0.5000 0.5000  6 P 2.33
3 P 0.2509 0.2509 0.2509  3 Mn 2.30, 3 Co 2.33
4 P 0.7491 0.7491 0.7491  3 Mn 2.30, 3 Co 2.33